The following is a PBE+U calculation of a geometry-optimized Ni3OF5 structure, from Alexandria.

Cell and atoms, written as extended XYZ:
```
18
Lattice="4.700 0.000 0.001 -0.091 4.699 0.001 0.003 0.003 9.283" Properties=species:S:1:pos:R:3 pbc="T T T"
Ni 4.537 4.626 1.551
Ni 2.304 2.349 0.001
Ni 2.295 2.340 6.225
Ni 0.074 0.075 7.734
Ni 2.316 2.362 3.061
Ni 0.001 0.001 4.642
F 3.737 0.904 3.096
F 1.348 1.375 1.548
F 0.850 3.776 0.001
F 1.408 1.435 4.627
F 0.832 3.754 3.096
F 0.874 3.797 6.189
F 3.761 0.926 9.284
F 3.203 3.266 4.659
F 3.263 3.327 7.737
F 3.779 0.947 6.189
O 3.179 3.241 1.539
O 1.432 1.461 7.747
```

Computed properties:
**Space-group type**: No. 12
**Crystal system**: monoclinic
**E above lowest polymorph**: 2 meV/atom